w.
A plane-wave DFT calculation with PBE was carried out for crystalline Ho8Tm3 at its relaxed geometry.

Space group: R-3
Spin magnetization: 0.00 Bohr magnetons per cell

Structure (POSCAR):
```
Ho8Tm3
1.0
7.092 0.309 0.301
0.489 7.082 0.301
0.489 0.477 7.072
Tm Ho
3 8
direct
0.500 0.500 0.000 Tm
0.500 0.000 0.500 Tm
0.000 0.500 0.500 Tm
0.879 0.303 0.157 Ho
0.121 0.697 0.843 Ho
0.610 0.610 0.610 Ho
0.843 0.121 0.697 Ho
0.157 0.879 0.303 Ho
0.697 0.843 0.121 Ho
0.303 0.157 0.879 Ho
0.390 0.390 0.390 Ho
```

---

x.
A plane-wave DFT calculation with PBE was carried out for crystalline Ho8Tm3 at its relaxed geometry.

Space group: R-3m
Spin magnetization: 0.00 Bohr magnetons per cell

Structure (POSCAR):
```
Ho8Tm3
1.0
3.492 0.000 0.337
1.730 3.034 0.337
-1.271 -0.738 31.432
Tm Ho
3 8
direct
0.273 0.273 0.181 Tm
0.000 0.000 0.000 Tm
0.727 0.727 0.819 Tm
0.091 0.091 0.728 Ho
0.364 0.364 0.909 Ho
0.636 0.636 0.091 Ho
0.454 0.454 0.637 Ho
0.546 0.546 0.363 Ho
0.909 0.909 0.272 Ho
0.182 0.182 0.454 Ho
0.818 0.818 0.546 Ho
```

---

Stability check: which of them is most stable? x.

---

w.
A plane-wave DFT calculation with PBE was carried out for crystalline HoTm at its relaxed geometry.

Space group: Cmcm
Spin magnetization: 0.00 Bohr magnetons per cell

Structure (POSCAR):
```
HoTm
1.0
3.479 0.000 -0.046
0.000 5.436 0.000
-1.657 0.000 6.473
Tm Ho
2 2
direct
0.174 0.250 0.847 Tm
0.826 0.750 0.153 Tm
0.435 0.250 0.369 Ho
0.565 0.750 0.631 Ho
```

---

x.
A plane-wave DFT calculation with PBE was carried out for crystalline HoTm at its relaxed geometry.

Space group: Pm-3m
Spin magnetization: 0.00 Bohr magnetons per cell

Structure (POSCAR):
```
HoTm
1.0
-3.932 -0.113 -0.355
0.226 -3.714 -1.325
-0.296 -1.340 3.704
Ho Tm
1 1
direct
0.000 0.000 0.000 Ho
0.500 0.500 0.500 Tm
```

---

Stability check: which of them is most stable? w.

---

w.
A plane-wave DFT calculation with PBE was carried out for crystalline Ho2Tm13 at its relaxed geometry.

Space group: R-3m
Spin magnetization: 0.00 Bohr magnetons per cell

Structure (POSCAR):
```
Ho2Tm13
1.0
1.850 8.297 -2.166
-0.329 6.301 6.094
8.000 3.634 2.988
Tm Ho
13 2
direct
0.242 0.242 0.908 Tm
0.013 0.013 0.320 Tm
0.987 0.347 0.680 Tm
0.500 0.500 0.500 Tm
0.242 0.607 0.908 Tm
0.758 0.758 0.092 Tm
0.013 0.653 0.320 Tm
0.987 0.987 0.680 Tm
0.607 0.242 0.908 Tm
0.347 0.987 0.680 Tm
0.393 0.758 0.092 Tm
0.653 0.013 0.320 Tm
0.758 0.393 0.092 Tm
0.241 0.241 0.278 Ho
0.759 0.759 0.722 Ho
```

---

x.
A plane-wave DFT calculation with PBE was carried out for crystalline Ho2Tm13 at its relaxed geometry.

Space group: P-1
Spin magnetization: 0.00 Bohr magnetons per cell

Structure (POSCAR):
```
Ho2Tm13
1.0
-1.283 -1.716 6.112
1.489 -7.777 -3.308
7.399 3.431 3.411
Tm Ho
13 2
direct
0.571 0.424 0.641 Tm
0.465 0.803 0.934 Tm
0.000 0.000 0.000 Tm
0.096 0.573 0.692 Tm
0.535 0.197 0.066 Tm
0.666 0.999 0.333 Tm
0.904 0.427 0.308 Tm
0.865 0.197 0.733 Tm
0.135 0.803 0.267 Tm
0.334 0.001 0.667 Tm
0.238 0.424 0.976 Tm
0.429 0.576 0.359 Tm
0.762 0.576 0.024 Tm
0.802 0.804 0.603 Ho
0.198 0.196 0.397 Ho
```

---

Stability check: which of them is most stable? x.

---

w.
A plane-wave DFT calculation with PBE was carried out for crystalline Ho3Tm at its relaxed geometry.

Space group: Pmm2
Spin magnetization: 0.00 Bohr magnetons per cell

Structure (POSCAR):
```
Ho3Tm
1.0
-1.677 3.118 -0.585
-1.139 -1.588 -5.197
-5.345 -2.511 1.938
Ho Tm
3 1
direct
0.500 0.000 0.499 Ho
0.000 0.500 0.333 Ho
0.500 0.500 0.834 Ho
0.000 0.000 0.000 Tm
```

---

x.
A plane-wave DFT calculation with PBE was carried out for crystalline Ho3Tm at its relaxed geometry.

Space group: Pm-3m
Spin magnetization: 0.00 Bohr magnetons per cell

Structure (POSCAR):
```
Ho3Tm
1.0
4.960 0.000 0.000
0.000 4.960 0.000
0.000 0.000 4.960
Tm Ho
1 3
direct
0.000 0.000 0.000 Tm
0.500 0.500 0.000 Ho
0.500 0.000 0.500 Ho
0.000 0.500 0.500 Ho
```

---

Stability check: which of them is most stable? w.

---

w.
A plane-wave DFT calculation with PBE was carried out for crystalline Ho3Tm at its relaxed geometry.

Space group: Imm2
Spin magnetization: 0.00 Bohr magnetons per cell

Structure (POSCAR):
```
Ho3Tm
1.0
-0.868 -2.793 -2.077
5.770 -0.103 -2.274
-0.915 -2.045 6.229
Ho Tm
3 1
direct
0.500 0.500 0.000 Ho
0.749 0.082 0.499 Ho
0.251 0.584 0.501 Ho
0.000 0.001 0.000 Tm
```

---

x.
A plane-wave DFT calculation with PBE was carried out for crystalline Ho3Tm at its relaxed geometry.

Space group: I4/mmm
Spin magnetization: 0.00 Bohr magnetons per cell

Structure (POSCAR):
```
Ho3Tm
1.0
4.956 0.000 0.000
0.000 4.956 0.000
-2.478 -2.478 4.960
Tm Ho
1 3
direct
0.000 0.000 0.000 Tm
0.250 0.750 0.500 Ho
0.750 0.250 0.500 Ho
0.500 0.500 0.000 Ho
```

---

y.
A plane-wave DFT calculation with PBE was carried out for crystalline Ho3Tm at its relaxed geometry.

Space group: Fm-3m
Spin magnetization: 0.01 Bohr magnetons per cell

Structure (POSCAR):
```
Ho3Tm
1.0
5.601 0.000 0.000
2.801 4.851 0.000
2.801 1.617 4.573
Tm Ho
1 3
direct
0.500 0.500 0.500 Tm
0.000 0.000 0.000 Ho
0.250 0.250 0.250 Ho
0.750 0.750 0.750 Ho
```

---

Stability check: which of them is most stable? w.

---

w.
A plane-wave DFT calculation with PBE was carried out for crystalline Ho7Tm5 at its relaxed geometry.

Space group: C2/m
Spin magnetization: 0.00 Bohr magnetons per cell

Structure (POSCAR):
```
Ho7Tm5
1.0
3.471 0.000 0.547
1.391 8.862 2.461
-0.094 0.200 11.877
Tm Ho
5 7
direct
0.167 0.167 0.500 Tm
0.000 0.000 0.000 Tm
0.833 0.833 0.500 Tm
0.306 0.639 0.749 Tm
0.694 0.361 0.251 Tm
0.028 0.694 0.250 Ho
0.500 0.500 0.500 Ho
0.639 0.972 0.750 Ho
0.333 0.333 0.001 Ho
0.361 0.028 0.250 Ho
0.972 0.306 0.750 Ho
0.667 0.667 0.999 Ho
```

---

x.
A plane-wave DFT calculation with PBE was carried out for crystalline Ho7Tm5 at its relaxed geometry.

Space group: C2/m
Spin magnetization: 0.00 Bohr magnetons per cell

Structure (POSCAR):
```
Ho7Tm5
1.0
-3.539 0.656 4.202
0.922 -5.033 -2.080
11.156 1.280 9.196
Tm Ho
5 7
direct
0.396 0.793 0.192 Tm
0.854 0.707 0.559 Tm
0.604 0.207 0.808 Tm
0.146 0.293 0.441 Tm
0.000 0.000 0.000 Tm
0.500 0.000 0.500 Ho
0.692 0.385 0.078 Ho
0.775 0.550 0.327 Ho
0.225 0.450 0.673 Ho
0.308 0.615 0.922 Ho
0.930 0.860 0.787 Ho
0.070 0.140 0.213 Ho
```

---

Stability check: which of them is most stable? w.

---

w.
A plane-wave DFT calculation with PBE was carried out for crystalline HoTm2 at its relaxed geometry.

Space group: R-3m
Spin magnetization: 0.00 Bohr magnetons per cell

Structure (POSCAR):
```
HoTm2
1.0
-0.251 -3.203 1.450
2.366 -2.486 -0.798
6.479 1.934 5.391
Tm Ho
2 1
direct
0.284 0.444 0.829 Tm
0.727 0.557 0.159 Tm
0.505 0.001 0.494 Ho
```

---

x.
A plane-wave DFT calculation with PBE was carried out for crystalline HoTm2 at its relaxed geometry.

Space group: I4/mmm
Spin magnetization: 0.00 Bohr magnetons per cell

Structure (POSCAR):
```
HoTm2
1.0
-1.678 2.413 1.875
-0.015 -2.146 2.748
7.366 2.671 -0.086
Tm Ho
2 1
direct
0.667 0.667 0.334 Tm
0.333 0.333 0.666 Tm
0.000 0.000 0.000 Ho
```

---

y.
A plane-wave DFT calculation with PBE was carried out for crystalline HoTm2 at its relaxed geometry.

Space group: Cmcm
Spin magnetization: 0.00 Bohr magnetons per cell

Structure (POSCAR):
```
HoTm2
1.0
-5.443 0.966 1.670
-1.840 -1.039 -5.395
2.152 -5.794 0.382
Ho Tm
2 4
direct
0.085 0.250 0.170 Ho
0.915 0.750 0.830 Ho
0.250 0.750 0.501 Tm
0.416 0.250 0.832 Tm
0.750 0.250 0.499 Tm
0.584 0.750 0.168 Tm
```

---

Stability check: which of them is most stable? w.

---

w.
A plane-wave DFT calculation with PBE was carried out for crystalline Ho13Tm2 at its relaxed geometry.

Space group: R-3m
Spin magnetization: 0.00 Bohr magnetons per cell

Structure (POSCAR):
```
Ho13Tm2
1.0
-2.965 7.445 3.486
0.813 1.435 8.582
6.339 6.348 2.788
Ho Tm
13 2
direct
0.241 0.241 0.909 Ho
0.987 0.987 0.675 Ho
0.241 0.609 0.909 Ho
0.013 0.013 0.325 Ho
0.987 0.350 0.675 Ho
0.609 0.241 0.909 Ho
0.391 0.759 0.091 Ho
0.350 0.987 0.675 Ho
0.500 0.500 0.500 Ho
0.759 0.759 0.091 Ho
0.759 0.391 0.091 Ho
0.650 0.013 0.325 Ho
0.013 0.650 0.325 Ho
0.243 0.243 0.272 Tm
0.757 0.757 0.728 Tm
```

---

x.
A plane-wave DFT calculation with PBE was carried out for crystalline Ho13Tm2 at its relaxed geometry.

Space group: P-1
Spin magnetization: 0.00 Bohr magnetons per cell

Structure (POSCAR):
```
Ho13Tm2
1.0
-6.307 1.448 -0.879
2.044 -2.089 -8.355
-3.532 -6.663 4.637
Ho Tm
13 2
direct
0.000 0.000 0.000 Ho
0.311 0.046 0.641 Ho
0.513 0.169 0.163 Ho
0.710 0.626 0.021 Ho
0.398 0.601 0.402 Ho
0.602 0.399 0.598 Ho
0.487 0.831 0.837 Ho
0.896 0.449 0.251 Ho
0.290 0.374 0.979 Ho
0.197 0.799 0.201 Ho
0.803 0.201 0.799 Ho
0.104 0.551 0.749 Ho
0.689 0.954 0.359 Ho
0.096 0.217 0.418 Tm
0.904 0.783 0.582 Tm
```

---

Stability check: which of them is most stable? x.

---

w.
A plane-wave DFT calculation with PBE was carried out for crystalline HoTm2V at its relaxed geometry.

Space group: R-3m
Spin magnetization: 3.06 Bohr magnetons per cell

Structure (POSCAR):
```
HoTm2V
1.0
-3.168 0.278 0.997
-1.736 -2.726 0.816
1.823 0.187 11.312
Tm V Ho
2 1 1
direct
0.918 0.918 0.247 Tm
0.082 0.082 0.753 Tm
0.000 0.000 0.000 V
0.500 0.500 0.500 Ho
```

---

x.
A plane-wave DFT calculation with PBE was carried out for crystalline HoTm2V at its relaxed geometry.

Space group: P4/mmm
Spin magnetization: 3.07 Bohr magnetons per cell

Structure (POSCAR):
```
HoTm2V
1.0
-3.190 -1.527 0.325
-0.294 -0.137 -3.537
3.640 -7.607 -0.008
V Tm Ho
1 2 1
direct
0.500 0.500 0.000 V
0.000 0.000 0.201 Tm
0.000 0.000 0.799 Tm
0.500 0.500 0.500 Ho
```

---

Stability check: which of them is most stable? x.

---

w.
A plane-wave DFT calculation with PBE was carried out for crystalline YHoTm6 at its relaxed geometry.

Space group: C2/m
Spin magnetization: 0.00 Bohr magnetons per cell

Structure (POSCAR):
```
YHoTm6
1.0
-6.455 0.104 1.572
4.112 -4.663 2.345
3.660 8.339 1.396
Tm Ho Y
6 1 1
direct
0.325 0.799 0.749 Tm
0.247 0.247 0.750 Tm
0.753 0.753 0.250 Tm
0.675 0.201 0.251 Tm
0.799 0.325 0.749 Tm
0.201 0.675 0.251 Tm
0.500 0.500 0.500 Ho
0.000 0.000 0.000 Y
```

---

x.
A plane-wave DFT calculation with PBE was carried out for crystalline YHoTm6 at its relaxed geometry.

Space group: P-1
Spin magnetization: 0.00 Bohr magnetons per cell

Structure (POSCAR):
```
YHoTm6
1.0
-2.056 1.400 -6.193
-4.690 -4.465 0.489
-5.755 3.611 -0.913
Ho Tm Y
1 6 1
direct
0.000 0.500 0.000 Ho
0.550 0.750 0.000 Tm
0.571 0.729 0.523 Tm
0.429 0.271 0.477 Tm
0.450 0.250 0.000 Tm
0.093 0.768 0.480 Tm
0.907 0.232 0.520 Tm
0.000 0.000 0.000 Y
```

---

Stability check: which of them is most stable? x.

---

w.
A plane-wave DFT calculation with PBE was carried out for crystalline Y2HoTm4 at its relaxed geometry.

Space group: Cm
Spin magnetization: 0.08 Bohr magnetons per cell

Structure (POSCAR):
```
Y2HoTm4
1.0
3.576 0.000 0.000
-1.788 3.086 -0.262
0.000 -0.391 19.715
Tm Ho Y
4 1 2
direct
0.524 0.048 0.810 Tm
0.429 0.858 0.526 Tm
0.905 0.809 0.950 Tm
0.000 0.000 0.237 Tm
0.810 0.619 0.668 Ho
0.619 0.239 0.094 Y
0.715 0.429 0.382 Y
```

---

x.
A plane-wave DFT calculation with PBE was carried out for crystalline Y2HoTm4 at its relaxed geometry.

Space group: Imma
Spin magnetization: 0.00 Bohr magnetons per cell

Structure (POSCAR):
```
Y2HoTm4
1.0
6.681 0.000 0.000
3.341 8.161 -1.059
3.341 1.656 8.061
Ho Tm Y
2 8 4
direct
0.000 0.500 0.000 Ho
0.500 0.500 0.000 Ho
0.139 0.370 0.352 Tm
0.861 0.148 0.130 Tm
0.786 0.239 0.739 Tm
0.139 0.852 0.870 Tm
0.764 0.761 0.261 Tm
0.214 0.761 0.261 Tm
0.861 0.630 0.648 Tm
0.236 0.239 0.739 Tm
0.500 0.500 0.500 Y
0.500 0.000 0.000 Y
0.277 0.973 0.473 Y
0.723 0.027 0.527 Y
```

---

Stability check: which of them is most stable? w.